Computed, not measured: a geometry-optimized Li2TiMn2O6 structure at the GGA+U level of DFT. Values from VASP.

Structure (Quantum ESPRESSO input):
```
&SYSTEM
  ibrav = 0, nat = 22, ntyp = 4
/
ATOMIC_SPECIES
Li 6.94 Li.upf
Ti 47.87 Ti.upf
Mn 54.94 Mn.upf
O 16.00 O.upf
ATOMIC_POSITIONS angstrom
Li 2.180 0.828 2.564
Li 2.180 -0.828 7.692
Li 6.541 0.828 2.564
Li 6.541 -0.828 7.692
Ti 0.000 0.000 0.000
Ti 4.360 0.000 5.128
Mn 1.437 0.000 5.128
Mn 2.923 0.000 0.000
Mn 5.798 0.000 0.000
Mn 7.284 0.000 5.128
O 1.491 0.667 9.118
O 4.360 1.785 4.203
O 2.870 0.667 6.266
O 1.491 -0.667 1.138
O 4.360 0.941 9.331
O 2.870 -0.667 3.990
O 5.851 0.667 6.266
O 4.360 -0.941 0.925
O 7.230 0.667 9.118
O 5.851 -0.667 3.990
O 4.360 -1.785 6.053
O 7.230 -0.667 1.138
CELL_PARAMETERS angstrom
4.360 -2.726 0.000
4.360 2.726 0.000
0.000 0.000 10.256
```

Output
As for the total DFT energy (no corrections): -7.210 eV per atom. For the density, the calculation gives 3.6 g/cm³. As for the crystal system: orthorhombic.